[1]
Ta2PbW after structural relaxation. Source: Alexandria, functional PBE-GGA.

Cell lengths 5.111, 5.111, 5.111 Å; angles 130.49, 130.49, 72.62 degrees
Fractional coordinates of all 4 atoms:
Ta (0.250, 0.750, 0.500)
Ta (0.750, 0.250, 0.500)
Pb (0.000, 0.000, 0.000)
W (0.500, 0.500, 0.000)

Properties
Symmetry: I4/mmm
Energy of formation, eV per atom: 0.503

---

[2]
RbMn2Ir2 after structural relaxation. Source: Alexandria, functional PBE-GGA.

Cell lengths 7.986, 7.986, 2.798 Å; angles 90.00, 90.00, 90.00 degrees
Fractional coordinates of all 10 atoms:
Rb (0.000, 0.000, 0.000)
Rb (0.500, 0.500, 0.000)
Mn (0.141, 0.359, 0.000)
Mn (0.359, 0.859, 0.000)
Mn (0.641, 0.141, 0.000)
Mn (0.859, 0.641, 0.000)
Ir (0.142, 0.642, 0.500)
Ir (0.358, 0.142, 0.500)
Ir (0.642, 0.858, 0.500)
Ir (0.858, 0.358, 0.500)

Properties
Energy relative to the lowest polymorph listed for this composition, meV per atom: 0
Symmetry: P4/mbm
Energy of formation, eV per atom: 0.450